Entry A
Computed, not measured: a relaxed CdCu3Br crystal at the PBE level of DFT.

```
CdCu3Br
1.0
-1.1762 -0.9776 -4.5114
0.4995 -4.6552 0.8785
-4.5890 -0.2562 1.2519
Cu Br Cd
3 1 1
Direct
0.0000 0.0000 0.5000
0.0000 0.5000 0.0000
0.5000 0.0000 0.0000
0.0000 0.0000 0.0000
0.5000 0.5000 0.5000
```

The space-group type is Pm-3m (221). For the density, the calculation gives 5.883 g cm⁻³.

Entry B
Computed, not measured: a relaxed CdCu3Br crystal at the PBE level of DFT.

```
CdCu3Br
1.0
4.9118 0.0000 0.0000
0.0000 4.9118 0.0000
0.0000 0.0000 4.9118
Cd Br Cu
1 1 3
Direct
0.0000 0.0000 0.0000
0.5000 0.5000 0.5000
0.0000 0.5000 0.0000
0.0000 0.0000 0.5000
0.5000 0.0000 0.0000
```

The space-group type is Pm-3m (221). For the density, the calculation gives 5.366 g cm⁻³.

Relative to the most stable structure, the computed energies are entry A 0; entry B 57, all in meV per atom.

Entry A
Computed, not measured: a relaxed Cd2BrF2 crystal at the PBE level of DFT.

```
Cd2BrF2
1.0
6.3139 0.0000 0.0000
0.0000 6.3139 0.0000
-3.1570 -3.1570 5.8728
F Cd Br
4 4 2
Direct
0.1806 0.3979 0.7958
0.6479 0.9306 0.2958
0.6151 0.3979 0.7958
0.6479 0.3651 0.2958
0.4258 0.1991 0.3983
0.4491 0.7225 0.8983
0.4491 0.1758 0.8983
0.9725 0.1991 0.3983
0.9866 0.9866 0.9732
0.2366 0.7366 0.4732
```

The space-group type is I4_1md (109). For the density, the calculation gives 4.862 g cm⁻³.

Entry B
Computed, not measured: a relaxed Cd2BrF2 crystal at the PBE level of DFT.

```
Cd2BrF2
1.0
-2.1663 0.0146 -3.4213
0.8062 -3.9333 -0.5272
-5.1889 -3.2655 0.8750
Cd Br F
2 1 2
Direct
0.3679 0.3679 0.2641
0.6321 0.6321 0.7359
0.0000 0.0000 0.0000
0.2500 0.7500 0.5000
0.7500 0.2500 0.5000
```

The space-group type is I4/mmm (139). For the density, the calculation gives 6.320 g cm⁻³.

Relative to the most stable structure, the computed energies are entry A 99; entry B 0, all in meV per atom.